Entry 1:
A relaxed LiCeAg2F6 crystal, computed with PBE.

As for the volume: 299.2 Å³/cell. The total energy comes out at -100.00 eV for the cell shown.

The space group is P2_1/c (No. 14) and the conventional cell measures 5.865, 5.989 and 10.199 Å, with angles of 90.00, 123.35 and 90.00 degrees. The distinct sites, in fractional coordinates, are Li at (0.000, 0.000, 0.000), Ce at (0.500, 0.000, 0.500), Ag at (0.227, 0.048, 0.747), F at (0.134, 0.216, 0.443), F at (0.222, 0.696, 0.439) and F at (0.354, 0.040, 0.241).

---

Entry 2:
A relaxed La2CdW crystal, computed with PBE.

As for the volume: 337.1 Å³/cell. The total energy comes out at -65.05 eV for the cell shown.

The space group is R-3m (No. 166, hexagonal axes) and the conventional cell measures 3.6104, 3.6104 and 29.8619 Å, with angles of 90.00, 90.00 and 120.00 degrees. The distinct sites, in fractional coordinates, are La at (0.0000, 0.0000, 0.2388), Cd at (0.0000, 0.0000, 0.0000) and W at (0.0000, 0.0000, 0.5000).

---

Entry 3:
A relaxed SiPbW2 crystal, computed with PBE.

The calculation puts the energy above the most stable polymorph in this dataset at 2.26 eV/f.u. As for the volume: 139.4 Å³/cell.

The space group is I-4m2 (No. 119) and the conventional cell measures 4.143, 4.143 and 8.117 Å, with angles of 90.00, 90.00 and 90.00 degrees. The distinct sites, in fractional coordinates, are Si at (0.000, 0.000, 0.000), Pb at (0.000, 0.500, 0.250), W at (0.000, 0.000, 0.500) and W at (0.000, 0.500, 0.750).

---

Entry 4:
A relaxed SrCuRu2 crystal, computed with PBE.

The calculation puts the energy above the most stable polymorph in this dataset at 1.14 eV/f.u. As for the volume: 74.3 Å³/cell.

The space group is Pm (No. 6) and the conventional cell measures 2.903, 4.111 and 6.391 Å, with angles of 90.00, 103.02 and 90.00 degrees. The distinct sites, in fractional coordinates, are Sr at (0.000, 0.000, 0.000), Cu at (0.638, 0.500, 0.278), Ru at (0.319, 0.500, 0.638) and Ru at (0.756, 0.000, 0.509).

---

Entry 5:
A relaxed Dy2InHg4 crystal, computed with PBE.

The calculation puts the energy above the most stable polymorph in this dataset at 2.67 eV/f.u. As for the volume: 453.1 Å³/cell.

The space group is I4/mmm (No. 139) and the conventional cell measures 5.448, 5.448 and 15.266 Å, with angles of 90.00, 90.00 and 90.00 degrees. The distinct sites, in fractional coordinates, are Dy at (0.000, 0.000, 0.109), In at (0.000, 0.000, 0.500), Hg at (0.000, 0.000, 0.304) and Hg at (0.000, 0.500, 0.000).

---

Entry 6:
A relaxed GdHo2Mg crystal, computed with PBE.

The calculation puts the energy above the most stable polymorph in this dataset at 0.30 eV/f.u. As for the volume: 117.5 Å³/cell.

The space group is P4/mmm (No. 123) and the conventional cell measures 5.468, 5.468 and 3.929 Å, with angles of 90.00, 90.00 and 90.00 degrees. The distinct sites, in fractional coordinates, are Gd at (0.000, 0.000, 0.000), Ho at (0.000, 0.500, 0.500) and Mg at (0.500, 0.500, 0.000).

---

Entry 7:
A relaxed ScGeS2Cl crystal, computed with PBE.

The calculation puts the energy above the most stable polymorph in this dataset at 0.00 eV/f.u. As for the volume: 119.1 Å³/cell.

The space group is P4/mmm (No. 123) and the conventional cell measures 4.998, 4.998 and 4.767 Å, with angles of 90.00, 90.00 and 90.00 degrees. The distinct sites, in fractional coordinates, are Sc at (0.000, 0.000, 0.000), Ge at (0.500, 0.500, 0.500), S at (0.000, 0.500, 0.000) and Cl at (0.000, 0.000, 0.500).

---

Entry 8:
A relaxed Ba4RePb crystal, computed with PBE.

As for the volume: 987.1 Å³/cell. The total energy comes out at -68.92 eV for the cell shown.

The space group is F-43m (No. 216) and the conventional cell measures 9.957, 9.957 and 9.957 Å, with angles of 90.00, 90.00 and 90.00 degrees. The distinct sites, in fractional coordinates, are Ba at (0.125, 0.125, 0.125), Re at (0.000, 0.000, 0.500) and Pb at (0.250, 0.250, 0.750).

---

Entry 9:
A relaxed NdInCoCu crystal, computed with PBE.

As for the volume: 305.2 Å³/cell. The total energy comes out at -75.84 eV for the cell shown.

The space group is F-43m (No. 216) and the conventional cell measures 6.733, 6.733 and 6.733 Å, with angles of 90.00, 90.00 and 90.00 degrees. The distinct sites, in fractional coordinates, are Nd at (0.000, 0.000, 0.000), In at (0.000, 0.000, 0.500), Co at (0.250, 0.250, 0.250) and Cu at (0.250, 0.250, 0.750).

---

Entry 10:
A relaxed FePd5Pt4 crystal, computed with PBE.

The calculation puts the energy above the most stable polymorph in this dataset at 0.03 eV/f.u. As for the volume: 324.3 Å³/cell.

The space group is C2/m (No. 12) and the conventional cell measures 13.946, 2.747 and 8.500 Å, with angles of 90.00, 95.16 and 90.00 degrees. The distinct sites, in fractional coordinates, are Fe at (0.000, 0.000, 0.000), Pd at (0.000, 0.000, 0.500), Pd at (0.156, 0.500, 0.240), Pd at (0.186, 0.500, 0.587), Pt at (0.036, 0.500, 0.764) and Pt at (0.178, 0.000, 0.927).

---

Entry 11:
A relaxed Ce3TiAg3Se8 crystal, computed with PBE.

As for the volume: 1175.1 Å³/cell. The total energy comes out at -235.35 eV for the cell shown.

The space group is R-3m (No. 166, hexagonal axes) and the conventional cell measures 8.3802, 8.3802 and 19.3224 Å, with angles of 90.00, 90.00 and 120.00 degrees. The distinct sites, in fractional coordinates, are Ce at (0.0000, 0.5000, 0.0000), Ti at (0.0000, 0.0000, 0.0000), Ag at (0.0000, 0.5000, 0.5000), Se at (0.0000, 0.0000, 0.2486) and Se at (0.0284, 0.5142, 0.7444).

---

Entry 12:
A relaxed RbPuSnBr6 crystal, computed with PBE.

As for the volume: 764.3 Å³/cell. The total energy comes out at -82.88 eV for the cell shown.

The space group is C2 (No. 5) and the conventional cell measures 7.758, 13.289 and 7.413 Å, with angles of 90.00, 90.11 and 90.00 degrees. The distinct sites, in fractional coordinates, are Rb at (0.000, 0.000, 0.000), Pu at (0.000, 0.668, 0.500), Sn at (0.000, 0.334, 0.500), Br at (0.134, 0.507, 0.279), Br at (0.181, 0.811, 0.275) and Br at (0.193, 0.183, 0.279).

---

Entry 13:
A relaxed NiAs crystal, computed with PBE.

As for the volume: 187.5 Å³/cell. The total energy comes out at -62.36 eV for the cell shown.

The space group is R-3m (No. 166, hexagonal axes) and the conventional cell measures 3.3106, 3.3106 and 19.7518 Å, with angles of 90.00, 90.00 and 120.00 degrees. The distinct sites, in fractional coordinates, are Ni at (0.0000, 0.0000, 0.1242) and As at (0.0000, 0.0000, 0.3927).

---

Entry 14:
A relaxed UInSi2O8 crystal, computed with PBE.

As for the volume: 331.0 Å³/cell. The total energy comes out at -190.60 eV for the cell shown.

The space group is C2/m (No. 12) and the conventional cell measures 8.330, 5.622 and 7.071 Å, with angles of 90.00, 92.00 and 90.00 degrees. The distinct sites, in fractional coordinates, are U at (0.000, 0.000, 0.000), In at (0.000, 0.000, 0.500), Si at (0.152, 0.500, 0.257), O at (0.038, 0.257, 0.240), O at (0.239, 0.000, 0.936) and O at (0.241, 0.000, 0.550).

---

Entry 15:
A relaxed Dy2HgSb crystal, computed with PBE.

The calculation puts the energy above the most stable polymorph in this dataset at 0.30 eV/f.u. As for the volume: 352.2 Å³/cell.

The space group is R-3m (No. 166, hexagonal axes) and the conventional cell measures 4.2269, 4.2269 and 22.7648 Å, with angles of 90.00, 90.00 and 120.00 degrees. The distinct sites, in fractional coordinates, are Dy at (0.0000, 0.0000, 0.2465), Hg at (0.0000, 0.0000, 0.0000) and Sb at (0.0000, 0.0000, 0.5000).

---

Entry 16:
A relaxed La6SiSn2 crystal, computed with PBE.

As for the volume: 572.4 Å³/cell. The total energy comes out at -96.72 eV for the cell shown.

The space group is Amm2 (No. 38) and the conventional cell measures 4.514, 14.643 and 8.659 Å, with angles of 90.00, 90.00 and 90.00 degrees. The distinct sites, in fractional coordinates, are La at (0.000, 0.000, 0.000), La at (0.000, 0.107, 0.595), La at (0.500, 0.000, 0.278), La at (0.500, 0.200, 0.931), Si at (0.500, 0.000, 0.762) and Sn at (0.000, 0.180, 0.226).

---

Entry 17:
A relaxed NdIn6Se8 crystal, computed with PBE.

As for the volume: 1303.6 Å³/cell. The total energy comes out at -173.83 eV for the cell shown.

The space group is R-3 (No. 148, hexagonal axes) and the conventional cell measures 10.8253, 10.8253 and 12.8447 Å, with angles of 90.00, 90.00 and 120.00 degrees. The distinct sites, in fractional coordinates, are Nd at (0.0000, 0.0000, 0.0000), In at (0.0150, 0.7680, 0.3591), Se at (0.0000, 0.0000, 0.2818) and Se at (0.0492, 0.4604, 0.7702).

---

Entry 18:
A relaxed HoEr2ScN4 crystal, computed with PBE.

As for the volume: 109.3 Å³/cell. The total energy comes out at -67.52 eV for the cell shown.

The space group is P2/m (No. 10) and the conventional cell measures 5.853, 3.383 and 5.853 Å, with angles of 90.00, 109.42 and 90.00 degrees. The distinct sites, in fractional coordinates, are Ho at (0.000, 0.000, 0.000), Er at (0.500, 0.000, 0.500), Er at (0.500, 0.500, 0.000), Sc at (0.000, 0.500, 0.500), N at (0.244, 0.000, 0.743) and N at (0.247, 0.500, 0.255).

---

Entry 19:
A relaxed Rb3Ag4Sb4 crystal, computed with PBE.

As for the volume: 701.7 Å³/cell. The total energy comes out at -65.90 eV for the cell shown.

The space group is Immm (No. 71) and the conventional cell measures 4.885, 5.148 and 27.902 Å, with angles of 90.00, 90.00 and 90.00 degrees. The distinct sites, in fractional coordinates, are Rb at (0.000, 0.000, 0.000), Rb at (0.000, 0.500, 0.350), Ag at (0.000, 0.000, 0.250), Ag at (0.000, 0.500, 0.099), Sb at (0.000, 0.000, 0.449) and Sb at (0.000, 0.500, 0.199).

---

Entry 20:
A relaxed Pm2Pr3Ru2 crystal, computed with PBE.

As for the volume: 404.3 Å³/cell. The total energy comes out at -87.37 eV for the cell shown.

The space group is C2/m (No. 12) and the conventional cell measures 12.404, 3.969 and 8.991 Å, with angles of 90.00, 114.02 and 90.00 degrees. The distinct sites, in fractional coordinates, are Pm at (0.171, 0.000, 0.310), Pr at (0.000, 0.500, 0.500), Pr at (0.119, 0.500, 0.924) and Ru at (0.183, 0.000, 0.732).